Entry 1:
RbTc: optimized geometry, GGA-PBE.

crystal system = hexagonal

Structure (CIF):
```
data_RbTc
_space_group_name_H-M_alt 'P 63/m m c'
_space_group_IT_number 194
_space_group_name_Hall '-P 6c 2c'
_cell_length_a 6.2406
_cell_length_b 6.2406
_cell_length_c 4.4733
_cell_angle_alpha 90.00
_cell_angle_beta 90.00
_cell_angle_gamma 120.00
loop_
_atom_site_label
_atom_site_type_symbol
_atom_site_fract_x
_atom_site_fract_y
_atom_site_fract_z
_atom_site_occupancy
Rb1 Rb 0.3333 0.6667 0.2500 1
Tc1 Tc 0.0000 0.0000 0.0000 1
```

=====

Entry 2:
Rb2TcTe3: optimized geometry, GGA-PBE.

crystal system = orthorhombic

Structure (CIF):
```
data_Rb2TcTe3
_space_group_name_H-M_alt 'C m c m'
_space_group_IT_number 63
_space_group_name_Hall '-C 2c 2'
_cell_length_a 12.795
_cell_length_b 9.980
_cell_length_c 7.222
_cell_angle_alpha 90.00
_cell_angle_beta 90.00
_cell_angle_gamma 90.00
loop_
_atom_site_label
_atom_site_type_symbol
_atom_site_fract_x
_atom_site_fract_y
_atom_site_fract_z
_atom_site_occupancy
Rb1 Rb 0.157 0.177 0.250 1
Tc1 Tc 0.000 0.397 0.750 1
Te1 Te 0.000 0.141 0.750 1
Te2 Te 0.129 0.500 0.000 1
```

=====

Entry 3:
Rb2TcTe3: optimized geometry, GGA-PBE.

crystal system = triclinic

Structure (CIF):
```
data_Rb2TcTe3
_space_group_name_H-M_alt 'P -1'
_space_group_IT_number 2
_cell_length_a 7.627
_cell_length_b 7.999
_cell_length_c 9.738
_cell_angle_alpha 72.44
_cell_angle_beta 68.67
_cell_angle_gamma 67.51
loop_
_space_group_symop_operation_xyz
'x,y,z'
'-x,-y,-z'
loop_
_atom_site_label
_atom_site_type_symbol
_atom_site_fract_x
_atom_site_fract_y
_atom_site_fract_z
_atom_site_occupancy
Rb1 Rb 0.114 0.194 0.119 1
Rb2 Rb 0.353 0.550 0.311 1
Tc1 Tc 0.380 0.048 0.656 1
Te1 Te 0.166 0.369 0.713 1
Te2 Te 0.258 0.952 0.483 1
Te3 Te 0.364 0.819 0.905 1
```

=====

Entry 4:
RbTlTc: optimized geometry, GGA-PBE.

crystal system = cubic

Structure (CIF):
```
data_RbTlTc
_space_group_name_H-M_alt 'F -4 3 m'
_space_group_IT_number 216
_space_group_name_Hall 'F -4 2 3'
_cell_length_a 7.717
_cell_length_b 7.717
_cell_length_c 7.717
_cell_angle_alpha 90.00
_cell_angle_beta 90.00
_cell_angle_gamma 90.00
loop_
_atom_site_label
_atom_site_type_symbol
_atom_site_fract_x
_atom_site_fract_y
_atom_site_fract_z
_atom_site_occupancy
Rb1 Rb 0.000 0.000 0.000 1
Tl1 Tl 0.250 0.250 0.250 1
Tc1 Tc 0.250 0.250 0.750 1
```

=====

Entry 5:
RbTlTc: optimized geometry, GGA-PBE.

crystal system = cubic

Structure (CIF):
```
data_RbTlTc
_space_group_name_H-M_alt 'F -4 3 m'
_space_group_IT_number 216
_space_group_name_Hall 'F -4 2 3'
_cell_length_a 7.313
_cell_length_b 7.313
_cell_length_c 7.313
_cell_angle_alpha 90.00
_cell_angle_beta 90.00
_cell_angle_gamma 90.00
loop_
_atom_site_label
_atom_site_type_symbol
_atom_site_fract_x
_atom_site_fract_y
_atom_site_fract_z
_atom_site_occupancy
Rb1 Rb 0.000 0.000 0.000 1
Tl1 Tl 0.000 0.000 0.500 1
Tc1 Tc 0.250 0.250 0.750 1
```

=====

Entry 6:
RbTmTc: optimized geometry, GGA-PBE.

crystal system = cubic

Structure (CIF):
```
data_RbTmTc
_space_group_name_H-M_alt 'F -4 3 m'
_space_group_IT_number 216
_space_group_name_Hall 'F -4 2 3'
_cell_length_a 7.143
_cell_length_b 7.143
_cell_length_c 7.143
_cell_angle_alpha 90.00
_cell_angle_beta 90.00
_cell_angle_gamma 90.00
loop_
_atom_site_label
_atom_site_type_symbol
_atom_site_fract_x
_atom_site_fract_y
_atom_site_fract_z
_atom_site_occupancy
Rb1 Rb 0.000 0.000 0.000 1
Tm1 Tm 0.250 0.250 0.250 1
Tc1 Tc 0.000 0.000 0.500 1
```

=====

Entry 7:
RbUTc: optimized geometry, GGA-PBE.

crystal system = cubic

Structure (CIF):
```
data_RbUTc
_space_group_name_H-M_alt 'F -4 3 m'
_space_group_IT_number 216
_space_group_name_Hall 'F -4 2 3'
_cell_length_a 6.779
_cell_length_b 6.779
_cell_length_c 6.779
_cell_angle_alpha 90.00
_cell_angle_beta 90.00
_cell_angle_gamma 90.00
loop_
_atom_site_label
_atom_site_type_symbol
_atom_site_fract_x
_atom_site_fract_y
_atom_site_fract_z
_atom_site_occupancy
Rb1 Rb 0.000 0.000 0.000 1
U1 U 0.250 0.250 0.250 1
Tc1 Tc 0.000 0.000 0.500 1
```

=====

Entry 8:
Rb3Zn2Tc: optimized geometry, GGA-PBE.

crystal system = hexagonal

Structure (CIF):
```
data_Rb3Zn2Tc
_space_group_name_H-M_alt 'P 6/m m m'
_space_group_IT_number 191
_space_group_name_Hall '-P 6 2'
_cell_length_a 7.5610
_cell_length_b 7.5610
_cell_length_c 5.4779
_cell_angle_alpha 90.00
_cell_angle_beta 90.00
_cell_angle_gamma 120.00
loop_
_atom_site_label
_atom_site_type_symbol
_atom_site_fract_x
_atom_site_fract_y
_atom_site_fract_z
_atom_site_occupancy
Rb1 Rb 0.0000 0.5000 0.0000 1
Zn1 Zn 0.3333 0.6667 0.5000 1
Tc1 Tc 0.0000 0.0000 0.5000 1
```

=====

Number 1: electronic total energy -4.302 eV/atom. Number 2: electronic total energy -4.103 eV/atom. Number 3: electronic total energy -4.101 eV/atom. Number 4: electronic total energy -2.769 eV/atom. Number 5: electronic total energy -3.212 eV/atom. Number 6: electronic total energy -3.524 eV/atom. Number 7: electronic total energy -5.505 eV/atom. Number 8: electronic total energy -1.451 eV/atom.